[1]
# SrHgAs | Alexandria via LeMat-Bulk | PBEsol | optimized geometry
# Energy relative to the elements   -187 kJ/mol of formula units
# Offset from the most stable computed form   0.00 eV/f.u.
# E_tot   -3.150 eV per atom
data_SrHgAs
_chemical_formula_sum 'Sr1 Hg1 As1'
_symmetry_space_group_name_H-M 'P 3 m 1'
_symmetry_Int_Tables_number 156
_cell_length_a 4.5189
_cell_length_b 4.5189
_cell_length_c 4.5099
_cell_angle_alpha 90.00
_cell_angle_beta 90.00
_cell_angle_gamma 120.00
loop_
_symmetry_equiv_pos_as_xyz
'x,y,z'
'-y,x-y,z'
'-x+y,-x,z'
'-y,-x,z'
'-x+y,y,z'
'x,x-y,z'
loop_
_atom_site_label
_atom_site_type_symbol
_atom_site_fract_x
_atom_site_fract_y
_atom_site_fract_z
Sr1 Sr 0.0000 0.0000 0.0000
Hg1 Hg 0.6667 0.3333 0.4211
As1 As 0.3333 0.6667 0.5939

[2]
# SrHgAs2 | Alexandria via LeMat-Bulk | PBEsol | optimized geometry
# Energy relative to the elements   -132 kJ/mol of formula units
# E_tot   -3.496 eV per atom
data_SrHgAs2
_chemical_formula_sum 'Sr1 Hg1 As2'
_symmetry_space_group_name_H-M 'P 4 m m'
_symmetry_Int_Tables_number 99
_cell_length_a 3.737
_cell_length_b 3.737
_cell_length_c 6.885
_cell_angle_alpha 90.00
_cell_angle_beta 90.00
_cell_angle_gamma 90.00
loop_
_symmetry_equiv_pos_as_xyz
'x,y,z'
'-y,x,z'
'-x,-y,z'
'y,-x,z'
'-x,y,z'
'y,x,z'
'x,-y,z'
'-y,-x,z'
loop_
_atom_site_label
_atom_site_type_symbol
_atom_site_fract_x
_atom_site_fract_y
_atom_site_fract_z
Sr1 Sr 0.000 0.000 0.000
Hg1 Hg 0.500 0.500 0.712
As1 As 0.000 0.000 0.440
As2 As 0.500 0.500 0.310

[3]
# SrHgAs | Alexandria via LeMat-Bulk | PBEsol | optimized geometry
# Energy relative to the elements   -87 kJ/mol of formula units
# Offset from the most stable computed form   1.03 eV/f.u.
# E_tot   -2.807 eV per atom
data_SrHgAs
_chemical_formula_sum 'Sr4 Hg4 As4'
_symmetry_space_group_name_H-M 'F -4 3 m'
_symmetry_Int_Tables_number 216
_symmetry_space_group_name_Hall 'F -4 2 3'
_cell_length_a 7.139
_cell_length_b 7.139
_cell_length_c 7.139
_cell_angle_alpha 90.00
_cell_angle_beta 90.00
_cell_angle_gamma 90.00
loop_
_atom_site_label
_atom_site_type_symbol
_atom_site_fract_x
_atom_site_fract_y
_atom_site_fract_z
Sr1 Sr 0.000 0.000 0.000
Hg1 Hg 0.250 0.250 0.750
As1 As 0.250 0.250 0.250

[4]
# SrHgAs2 | Alexandria via LeMat-Bulk | PBEsol | optimized geometry
# Energy relative to the elements   -89 kJ/mol of formula units
# E_tot   -3.385 eV per atom
data_SrHgAs2
_chemical_formula_sum 'Sr4 Hg4 As8'
_symmetry_space_group_name_H-M 'F -4 3 m'
_symmetry_Int_Tables_number 216
_symmetry_space_group_name_Hall 'F -4 2 3'
_cell_length_a 7.235
_cell_length_b 7.235
_cell_length_c 7.235
_cell_angle_alpha 90.00
_cell_angle_beta 90.00
_cell_angle_gamma 90.00
loop_
_atom_site_label
_atom_site_type_symbol
_atom_site_fract_x
_atom_site_fract_y
_atom_site_fract_z
Sr1 Sr 0.000 0.000 0.000
Hg1 Hg 0.250 0.250 0.250
As1 As 0.000 0.000 0.500
As2 As 0.250 0.250 0.750

What did the first record say?
# SrHgAs | Alexandria via LeMat-Bulk | PBEsol | optimized geometry
# Energy relative to the elements   -187 kJ/mol of formula units
# Offset from the most stable computed form   0.00 eV/f.u.
# E_tot   -3.150 eV per atom
data_SrHgAs
_chemical_formula_sum 'Sr1 Hg1 As1'
_symmetry_space_group_name_H-M 'P 3 m 1'
_symmetry_Int_Tables_number 156
_cell_length_a 4.5189
_cell_length_b 4.5189
_cell_length_c 4.5099
_cell_angle_alpha 90.00
_cell_angle_beta 90.00
_cell_angle_gamma 120.00
loop_
_symmetry_equiv_pos_as_xyz
'x,y,z'
'-y,x-y,z'
'-x+y,-x,z'
'-y,-x,z'
'-x+y,y,z'
'x,x-y,z'
loop_
_atom_site_label
_atom_site_type_symbol
_atom_site_fract_x
_atom_site_fract_y
_atom_site_fract_z
Sr1 Sr 0.0000 0.0000 0.0000
Hg1 Hg 0.6667 0.3333 0.4211
As1 As 0.3333 0.6667 0.5939